#P
Material: YVW2O8
Method: DFT, GGA+U
State: relaxed

Output
- Calculated volume: 158.57 Å³/f.u.

Lattice parameters (Å, degrees): 5.153 5.784 5.925 107.46 91.29 108.33
Space group P1 (No. 1)
Unique sites:
Y  0.000  0.000  0.000 x1
V  0.493  0.998  0.523 x1
W  0.237  0.489  0.687 x1
W  0.745  0.517  0.355 x1
O  0.133  0.687  0.475 x1
O  0.226  0.726  0.969 x1
O  0.269  0.197  0.777 x1
O  0.362  0.287  0.355 x1
O  0.646  0.731  0.683 x1
O  0.718  0.779  0.247 x1
O  0.785  0.289  0.082 x1
O  0.843  0.306  0.561 x1



#Q
Material: YVW2O8
Method: DFT, GGA+U
State: relaxed

Output
- Calculated volume: 150.00 Å³/f.u.

Lattice parameters (Å, degrees): 5.321 5.784 10.880 90.00 116.38 90.00
Space group P2/c (No. 13)
Unique sites:
Y  0.000  0.164  0.250 x2
V  0.500  0.165  0.750 x2
W  0.244  0.342  0.997 x4
O  0.177  0.395  0.614 x4
O  0.249  0.115  0.124 x4
O  0.286  0.143  0.859 x4
O  0.324  0.385  0.403 x4



The structure with the least stability is #P.



#P
Material: Y2VO5
Method: DFT, GGA+U
State: relaxed

Output
- Calculated volume: 104.99 Å³/f.u.

Lattice parameters (Å, degrees): 7.440 3.610 15.636 90.00 90.00 90.00
Space group Pnma (No. 62)
Unique sites:
Y  0.095  0.250  0.088 x4
Y  0.139  0.250  0.737 x4
V  0.125  0.250  0.426 x4
O  0.085  0.750  0.451 x4
O  0.093  0.750  0.177 x4
O  0.098  0.750  0.650 x4
O  0.154  0.750  0.999 x4
O  0.217  0.750  0.831 x4



#Q
Material: Y2VO5
Method: DFT, GGA+U
State: relaxed

Output
- Calculated volume: 118.54 Å³/f.u.

Lattice parameters (Å, degrees): 15.423 6.901 10.516 90.00 122.09 90.00
Space group C2/c (No. 15)
Unique sites:
Y  0.032  0.239  0.461 x8
Y  0.136  0.130  0.839 x8
V  0.188  0.399  0.305 x8
O  0.017  0.103  0.897 x8
O  0.088  0.486  0.125 x8
O  0.112  0.202  0.319 x8
O  0.188  0.147  0.671 x8
O  0.208  0.425  0.946 x8



The structure with the least stability is #Q.



#P
Material: Y3VO6
Method: DFT, GGA+U
State: relaxed

Output
- Calculated volume: 140.56 Å³/f.u.

Lattice parameters (Å, degrees): 9.4730 9.4730 10.8521 90.00 90.00 120.00
Space group R-3 (No. 148, hexagonal axes)
Unique sites:
Y  0.0421  0.7748  0.2030 x18
V  0.0000  0.0000  0.0000 x3
V  0.0000  0.0000  0.5000 x3
O  0.0282  0.8227  0.4034 x18
O  0.0278  0.8432  0.8836 x18



#Q
Material: Y3VO6
Method: DFT, GGA+U
State: relaxed

Output
- Calculated volume: 136.13 Å³/f.u.

Lattice parameters (Å, degrees): 9.023 10.913 5.530 90.00 90.00 90.00
Space group Cmc2_1 (No. 36)
Unique sites:
Y  0.000  0.104  0.000 x4
Y  0.205  0.384  0.053 x8
V  0.000  0.349  0.563 x4
O  0.000  0.278  0.243 x4
O  0.000  0.487  0.876 x4
O  0.149  0.253  0.746 x8
O  0.159  0.014  0.277 x8



The structure with the least stability is #Q.



#P
Material: ZrVO2
Method: DFT, GGA+U
State: relaxed

Output
- Calculated volume: 57.91 Å³/f.u.

Lattice parameters (Å, degrees): 4.858 4.858 9.816 90.00 90.00 90.00
Space group I-42d (No. 122)
Unique sites:
Zr  0.000  0.000  0.000 x4
V  0.000  0.000  0.500 x4
O  0.248  0.250  0.625 x8



#Q
Material: ZrVO2
Method: DFT, GGA+U
State: relaxed

Output
- Calculated volume: 42.61 Å³/f.u.

Lattice parameters (Å, degrees): 5.544 5.544 5.544 90.00 90.00 90.00
Space group Fm-3m (No. 225)
Unique sites:
Zr  0.000  0.000  0.000 x4
V  0.000  0.000  0.500 x4
O  0.250  0.250  0.250 x8



The structure with the least stability is #Q.



#P
Material: WO4
Method: DFT, GGA+U
State: relaxed

Output
- Calculated volume: 81.18 Å³/f.u.

Lattice parameters (Å, degrees): 4.330 4.330 4.330 90.00 90.00 90.00
Space group P-43m (No. 215)
Unique sites:
W  0.000  0.000  0.000 x1
O  0.243  0.243  0.243 x4



#Q
Material: WO4
Method: DFT, GGA+U
State: relaxed

Output
- Calculated volume: 59.96 Å³/f.u.

Lattice parameters (Å, degrees): 4.645 4.645 5.557 90.00 90.00 90.00
Space group P4/nbm (No. 125, origin choice 2)
Unique sites:
W  0.250  0.250  0.000 x2
O  0.084  0.584  0.199 x8



#R
Material: WO4
Method: DFT, GGA+U
State: relaxed

Output
- Calculated volume: 58.51 Å³/f.u.

Lattice parameters (Å, degrees): 3.882 3.882 3.882 90.00 90.00 90.00
Space group Pm-3m (No. 221)
Unique sites:
W  0.000  0.000  0.000 x1
O  0.000  0.000  0.500 x3
O  0.500  0.500  0.500 x1



The structure with the least stability is #P.



#P
Material: YWO2
Method: DFT, GGA+U
State: relaxed

Output
- Calculated volume: 58.18 Å³/f.u.

Lattice parameters (Å, degrees): 6.253 6.253 11.904 90.00 90.00 90.00
Space group I4_1/amd (No. 141, origin choice 2)
Unique sites:
Y  0.000  0.000  0.000 x8
W  0.000  0.000  0.500 x8
O  0.000  0.020  0.196 x16



#Q
Material: YWO2
Method: DFT, GGA+U
State: relaxed

Output
- Calculated volume: 66.29 Å³/f.u.

Lattice parameters (Å, degrees): 5.116 5.116 10.132 90.00 90.00 90.00
Space group I-42d (No. 122)
Unique sites:
Y  0.000  0.000  0.000 x4
W  0.000  0.000  0.500 x4
O  0.241  0.250  0.625 x8



#R
Material: YWO2
Method: DFT, GGA+U
State: relaxed

Output
- Calculated volume: 51.81 Å³/f.u.

Lattice parameters (Å, degrees): 5.918 5.918 5.918 90.00 90.00 90.00
Space group Fm-3m (No. 225)
Unique sites:
Y  0.000  0.000  0.000 x4
W  0.000  0.000  0.500 x4
O  0.250  0.250  0.250 x8



The structure with the least stability is #R.



#P
Material: Zn3WO
Method: DFT, GGA+U
State: relaxed

Output
- Calculated volume: 143.47 Å³/f.u.

Lattice parameters (Å, degrees): 5.235 5.235 5.235 90.00 90.00 90.00
Space group Pm-3m (No. 221)
Unique sites:
Zn  0.000  0.000  0.500 x3
W  0.000  0.000  0.000 x1
O  0.500  0.500  0.500 x1



#Q
Material: Zn3WO
Method: DFT, GGA+U
State: relaxed

Output
- Calculated volume: 75.02 Å³/f.u.

Lattice parameters (Å, degrees): 4.217 4.217 4.217 90.00 90.00 90.00
Space group Pm-3m (No. 221)
Unique sites:
Zn  0.000  0.000  0.500 x3
W  0.500  0.500  0.500 x1
O  0.000  0.000  0.000 x1



The structure with the least stability is #P.



#P
Material: ZnW4O8
Method: DFT, GGA+U
State: relaxed

Output
- Calculated volume: 181.80 Å³/f.u.

Lattice parameters (Å, degrees): 6.5599 6.5599 14.6348 90.00 90.00 120.00
Space group R-3m (No. 166, hexagonal axes)
Unique sites:
Zn  0.0000  0.0000  0.0000 x3
W  0.0000  0.0000  0.5000 x3
W  0.0000  0.5000  0.5000 x9
O  0.0000  0.0000  0.2272 x6
O  0.0158  0.5079  0.7605 x18



#Q
Material: ZnW4O8
Method: DFT, GGA+U
State: relaxed

Output
- Calculated volume: 190.30 Å³/f.u.

Lattice parameters (Å, degrees): 3.301 7.725 7.765 88.16 77.74 79.58
Space group P1 (No. 1)
Unique sites:
Zn  0.000  0.000  0.000 x1
W  0.201  0.509  0.187 x1
W  0.405  0.819  0.509 x1
W  0.739  0.187  0.492 x1
W  0.893  0.496  0.815 x1
O  0.044  0.699  0.381 x1
O  0.103  0.305  0.622 x1
O  0.361  0.056  0.376 x1
O  0.369  0.380  0.946 x1
O  0.419  0.625  0.698 x1
O  0.708  0.626  0.056 x1
O  0.718  0.378  0.302 x1
O  0.783  0.950  0.626 x1



The structure with the least stability is #P.